The following is a DFT calculation (PBE+U) of crystalline Li4Fe5Sn3O16 at its relaxed geometry.

DOS(E_F) = 0.153 states/eV per atom
Crystal system = monoclinic
Total magnetization = 0.71 μB/atom
Final energy = -170.42 eV for the cell shown

Cell and atoms, written as extended XYZ:
```
28
Lattice="-1.286 -4.749 -3.612 2.102 -0.152 -5.728 8.005 -4.485 3.077" Properties=species:S:1:pos:R:3 pbc="T T T"
Li 7.646 -7.259 -3.526
Li 8.734 -9.256 -6.122
Li 4.817 -7.107 -7.727
Li 3.464 -3.434 -1.913
Fe 4.510 -5.507 -4.742
Fe 2.425 -5.047 -7.083
Fe 8.180 -6.085 -0.121
Fe 6.888 -4.104 -2.199
Fe 5.220 -6.366 -1.158
Sn 3.018 -2.693 -5.335
Sn 1.349 -4.957 -4.293
Sn 5.850 -4.033 0.606
O 6.106 -4.357 -4.127
O 3.180 -4.086 -3.783
O 1.326 -3.727 -5.974
O 3.339 -6.303 -8.346
O 7.268 -8.488 -6.802
O 4.390 -6.685 -3.055
O 4.115 -4.172 -6.347
O 2.618 -6.204 -5.412
O 0.863 -1.200 -1.224
O 5.540 -6.824 -5.953
O 7.716 -4.040 -0.343
O 6.200 -6.098 0.604
O 5.137 -4.398 -1.327
O 1.981 -1.318 -4.128
O 7.050 -6.079 -1.917
O 0.266 -3.645 -3.057
```